1.
Hf8SnBi2: relaxed, PBE.

Calculated values
energy of formation from the pure elements: 0.075 eV per atom
total magnetization: 0.00 Bohr magnetons per cell
space-group type: C2/m, No. 12

Lattice parameters (Å, degrees): 5.4644 7.7811 7.7811 120.88 101.32 101.32
With the nearest neighbours (Å) after each atom.
Element x y z (fractional)
1 Hf 0.5000 0.2213 0.7787  2 Bi 2.95, 1 Sn 3.00, 4 Hf 3.26
2 Hf 0.1587 0.0973 0.3119  4 Hf 2.90-3.10, 2 Bi 2.99-3.03, 1 Sn 3.22
3 Hf 0.8413 0.6881 0.9027  4 Hf 2.90-3.10, 2 Bi 2.99-3.03, 1 Sn 3.22
4 Sn 0.5000 0.0000 0.0000  8 Hf 2.90-3.22
5 Hf 0.3031 0.5896 0.5896  1 Sn 2.90, 6 Hf 2.98-3.10, 2 Bi 3.07
6 Hf 0.6969 0.4104 0.4104  1 Sn 2.90, 6 Hf 2.98-3.10, 2 Bi 3.07
7 Bi 0.0000 0.3030 0.6970  8 Hf 2.95-3.07
8 Hf 0.1587 0.3119 0.0973  4 Hf 2.90-3.10, 2 Bi 2.99-3.03, 1 Sn 3.22
9 Bi 0.0000 0.6970 0.3030  8 Hf 2.95-3.07
10 Hf 0.5000 0.7787 0.2213  2 Bi 2.95, 1 Sn 3.00, 4 Hf 3.26
11 Hf 0.8413 0.9027 0.6881  4 Hf 2.90-3.10, 2 Bi 2.99-3.03, 1 Sn 3.22

---

2.
BaAlRh3: relaxed, PBE.

Calculated values
energy above the lowest structure with this stoichiometry: 1776 meV/atom
energy of formation from the pure elements: 1.758 eV per atom
total magnetization: 1.01 Bohr magnetons per cell
space-group type: Pm-3m, No. 221

Lattice parameters (Å, degrees): 5.0790 5.0790 5.0790 90.00 90.00 90.00
With the nearest neighbours (Å) after each atom.
Element x y z (fractional)
1 Rh 0.5000 0.0000 0.0000  2 Ba 2.54
2 Rh 0.0000 0.0000 0.5000  2 Ba 2.54
3 Ba 0.0000 0.0000 0.0000  6 Rh 2.54
4 Rh 0.0000 0.5000 0.0000  2 Ba 2.54
5 Al 0.5000 0.5000 0.5000  12 Rh 3.59

---

3.
CuBIr: relaxed, PBE.

Calculated values
energy above the lowest structure with this stoichiometry: 266 meV/atom
energy of formation from the pure elements: 0.083 eV per atom
total magnetization: 0.00 Bohr magnetons per cell
space-group type: I4mm, No. 107

Lattice parameters (Å, degrees): 2.7465 2.7465 4.9346 106.16 106.16 90.00
With the nearest neighbours (Å) after each atom.
Element x y z (fractional)
1 Cu 0.9851 0.9851 0.9703  4 B 2.50, 5 Ir 2.55-2.78, 4 Cu 2.75
2 B 0.3108 0.3108 0.6216  4 Ir 2.17
3 Ir 0.7041 0.7041 0.4082  4 B 2.17

---

| no. | density of states at the Fermi level (states/eV/cell) | total DFT energy (no corrections) (eV per cell) | calculated volume (Å³ per atom) |
| --- | --- | --- | --- |
| 1 | 9.890 | -90.6 | 23.68 |
| 2 | 10.463 | -18.9 | 26.20 |
| 3 | 0.594 | -19.4 | 11.41 |